Entry from Alexandria via LeMat-Bulk: a geometry-optimized RbMg2Mn structure (GGA-PBE).

Properties
- total magnetization (μB per atom) = 1.02
- ρ (g/cm³) = 1.883
- crystal system = tetragonal
- density of states at the Fermi level (states/eV per cell) = 13.96

Structure (CIF):
```
data_RbMg2Mn
_space_group_name_H-M_alt 'I 41/a m d'
_space_group_IT_number 141
_cell_length_a 5.863
_cell_length_b 5.863
_cell_length_c 19.394
_cell_angle_alpha 90.00
_cell_angle_beta 90.00
_cell_angle_gamma 90.00
loop_
_space_group_symop_operation_xyz
'x,y,z'
'-x,-y,-z'
'-y+1/4,x+3/4,z+1/4'
'y+1/4,-x+3/4,-z+1/4'
'-x+1/2,-y,z+1/2'
'x+1/2,y,-z+1/2'
'y+1/4,-x+1/4,z+3/4'
'-y+1/4,x+1/4,-z+3/4'
'x,-y,-z'
'-x,y,z'
'-y+1/4,-x+1/4,-z+3/4'
'y+1/4,x+1/4,z+3/4'
'-x+1/2,y,-z+1/2'
'x+1/2,-y,z+1/2'
'y+1/4,x+3/4,-z+1/4'
'-y+1/4,-x+3/4,z+1/4'
'x+1/2,y+1/2,z+1/2'
'-x+1/2,-y+1/2,-z+1/2'
'-y+3/4,x+1/4,z+3/4'
'y+3/4,-x+1/4,-z+3/4'
'-x,-y+1/2,z'
'x,y+1/2,-z'
'y+3/4,-x+3/4,z+1/4'
'-y+3/4,x+3/4,-z+1/4'
'x+1/2,-y+1/2,-z+1/2'
'-x+1/2,y+1/2,z+1/2'
'-y+3/4,-x+3/4,-z+1/4'
'y+3/4,x+3/4,z+1/4'
'-x,y+1/2,-z'
'x,-y+1/2,z'
'y+3/4,x+1/4,-z+3/4'
'-y+3/4,-x+1/4,z+3/4'
loop_
_atom_site_label
_atom_site_fract_x
_atom_site_fract_y
_atom_site_fract_z
Rb1 0.000 0.250 0.375
Mg1 0.000 0.000 0.000
Mn1 0.000 0.250 0.875
```

Entry from Alexandria via LeMat-Bulk: a geometry-optimized RbMg2Mn structure (GGA-PBE).

Properties
- total magnetization (μB per atom) = 1.04
- ρ (g/cm³) = 2.701
- crystal system = cubic
- density of states at the Fermi level (states/eV per cell) = 11.81

Structure (CIF):
```
data_RbMg2Mn
_space_group_name_H-M_alt 'F m -3 m'
_space_group_IT_number 225
_space_group_name_Hall '-F 4 2 3'
_cell_length_a 7.746
_cell_length_b 7.746
_cell_length_c 7.746
_cell_angle_alpha 90.00
_cell_angle_beta 90.00
_cell_angle_gamma 90.00
loop_
_atom_site_label
_atom_site_fract_x
_atom_site_fract_y
_atom_site_fract_z
Rb1 0.000 0.000 0.000
Mg1 0.250 0.250 0.250
Mn1 0.000 0.000 0.500
```

Entry from Alexandria via LeMat-Bulk: a geometry-optimized Rb3MgMn structure (GGA-PBE).

Properties
- total magnetization (μB per atom) = 0.97
- ρ (g/cm³) = 1.580
- crystal system = cubic
- density of states at the Fermi level (states/eV per cell) = 8.51

Structure (CIF):
```
data_Rb3MgMn
_space_group_name_H-M_alt 'P m -3 m'
_space_group_IT_number 221
_space_group_name_Hall '-P 4 2 3'
_cell_length_a 7.066
_cell_length_b 7.066
_cell_length_c 7.066
_cell_angle_alpha 90.00
_cell_angle_beta 90.00
_cell_angle_gamma 90.00
loop_
_atom_site_label
_atom_site_fract_x
_atom_site_fract_y
_atom_site_fract_z
Rb1 0.000 0.000 0.500
Mg1 0.500 0.500 0.500
Mn1 0.000 0.000 0.000
```

Entry from Alexandria via LeMat-Bulk: a geometry-optimized RbMg2ScMn structure (GGA-PBE).

Properties
- total magnetization (μB per atom) = 0.61
- ρ (g/cm³) = 1.880
- crystal system = tetragonal
- density of states at the Fermi level (states/eV per cell) = 5.57

Structure (CIF):
```
data_RbMg2ScMn
_space_group_name_H-M_alt 'P 4/m m m'
_space_group_IT_number 123
_space_group_name_Hall '-P 4 2'
_cell_length_a 5.759
_cell_length_b 5.759
_cell_length_c 6.230
_cell_angle_alpha 90.00
_cell_angle_beta 90.00
_cell_angle_gamma 90.00
loop_
_atom_site_label
_atom_site_fract_x
_atom_site_fract_y
_atom_site_fract_z
Rb1 0.000 0.000 0.000
Mg1 0.000 0.500 0.500
Sc1 0.000 0.000 0.500
Mn1 0.500 0.500 0.000
```

| no. | VASP energy (eV/cell) |
| --- | --- |
| 1 | -41.750 |
| 2 | -42.334 |
| 3 | -9.650 |
| 4 | -13.001 |